Entry 1:
Material: Pm2Ge3Ir4Rh
Method: DFT, GGA-PBE
State: optimized geometry

## Properties
DFT formation energy	-0.68	eV per atom

Unit cell a=4.213 b=4.213 c=10.440 alpha=90.00 beta=90.00 gamma=90.00
Element x y z (fractional)
Ge 0.000 0.000 0.500
Ge 0.000 0.500 0.131
Ge 0.500 0.000 0.869
Pm 0.000 0.500 0.754
Pm 0.500 0.000 0.246
Rh 0.500 0.500 0.500
Ir 0.000 0.000 0.000
Ir 0.500 0.000 0.636
Ir 0.500 0.500 0.000
Ir 0.000 0.500 0.364

---

Entry 2:
Material: Pm2Ge6IrRh
Method: DFT, GGA-PBE
State: optimized geometry

## Properties
DFT formation energy	-0.31	eV per atom

Unit cell a=7.597 b=7.597 c=10.080 alpha=67.86 beta=67.86 gamma=60.00
Element x y z (fractional)
Rh 0.500 0.500 0.500
Rh 0.000 0.000 0.000
Ge 0.864 0.393 0.351
Ge 0.393 0.393 0.351
Ge 0.752 0.205 0.838
Ge 0.607 0.136 0.649
Ge 0.393 0.864 0.351
Ge 0.205 0.205 0.838
Ge 0.607 0.607 0.649
Ge 0.136 0.607 0.649
Ge 0.205 0.752 0.838
Ge 0.248 0.795 0.162
Ge 0.795 0.795 0.162
Ge 0.795 0.248 0.162
Pm 0.715 0.715 0.855
Pm 0.137 0.137 0.590
Pm 0.863 0.863 0.410
Pm 0.285 0.285 0.145
Ir 0.389 0.389 0.834
Ir 0.611 0.611 0.166